Arrangement i

DFT (PBE) results for Hg2SbTe after structural relaxation.

a = 4.609 Å, b = 4.609 Å, c = 8.453 Å
α = 89.34°, β = 89.34°, γ = 39.82°
Atoms (fractional coordinates):
Te: 0.263 0.263 0.250
Sb: 0.477 0.477 0.516
Hg: 0.012 0.012 0.982
Hg: 0.748 0.748 0.752

Arrangement ii

DFT (PBE) results for Hg2SbTe after structural relaxation.

a = 11.223 Å, b = 11.223 Å, c = 11.223 Å
α = 17.40°, β = 17.40°, γ = 17.40°
Atoms (fractional coordinates):
Hg: 0.503 0.503 0.503
Hg: 0.997 0.997 0.997
Sb: 0.250 0.250 0.250
Te: 0.750 0.750 0.750

Arrangement iii

DFT (PBE) results for Hg2SbTe after structural relaxation.

a = 3.154 Å, b = 6.588 Å, c = 5.953 Å
α = 90.00°, β = 90.00°, γ = 90.00°
Atoms (fractional coordinates):
Hg: 0.000 0.000 0.501
Hg: 0.000 0.000 0.999
Sb: 0.500 0.500 0.250
Te: 0.500 0.500 0.750

Arrangement iv

DFT (PBE) results for Hg2SbTe after structural relaxation.

a = 7.074 Å, b = 7.074 Å, c = 4.632 Å
α = 72.56°, β = 72.56°, γ = 32.85°
Atoms (fractional coordinates):
Hg: 0.471 0.471 0.527
Te: 0.250 0.250 0.250
Sb: 0.750 0.750 0.750
Hg: 0.029 0.029 0.973

What should be chosen as the least stable of them? Choose arrangement ii.

Arrangement i

DFT (PBE) results for Hg2SbTe after structural relaxation.

a = 5.338 Å, b = 5.338 Å, c = 5.338 Å
α = 60.00°, β = 60.00°, γ = 60.00°
Atoms (fractional coordinates):
Hg: 0.750 0.750 0.750
Sb: 0.000 0.000 0.000
Te: 0.500 0.500 0.500
Hg: 0.250 0.250 0.250

Arrangement ii

DFT (PBE) results for Hg2SbTe after structural relaxation.

a = 3.183 Å, b = 3.183 Å, c = 11.360 Å
α = 90.00°, β = 90.00°, γ = 105.27°
Atoms (fractional coordinates):
Hg: 0.000 0.000 0.011
Te: 0.500 0.500 0.750
Hg: 0.000 0.000 0.489
Sb: 0.500 0.500 0.250

Arrangement iii

DFT (PBE) results for Hg2SbTe after structural relaxation.

a = 6.656 Å, b = 6.656 Å, c = 8.000 Å
α = 65.42°, β = 65.42°, γ = 90.00°
Atoms (fractional coordinates):
Hg: 0.614 0.125 0.250
Hg: 0.875 0.864 0.750
Hg: 0.136 0.625 0.250
Te: 0.000 0.000 0.000
Te: 0.750 0.250 0.500
Sb: 0.250 0.750 0.500
Hg: 0.375 0.386 0.750
Sb: 0.500 0.500 0.000

Arrangement iv

DFT (PBE) results for Hg2SbTe after structural relaxation.

a = 3.959 Å, b = 5.269 Å, c = 5.229 Å
α = 90.00°, β = 90.00°, γ = 90.00°
Atoms (fractional coordinates):
Te: 0.000 0.500 0.500
Hg: 0.500 0.500 0.000
Hg: 0.000 0.000 0.000
Sb: 0.500 0.000 0.500

What should be chosen as the least stable of them? Choose arrangement i.

Arrangement i

DFT (PBE) results for HgSbTe after structural relaxation.

a = 4.342 Å, b = 5.966 Å, c = 8.820 Å
α = 113.36°, β = 90.01°, γ = 89.99°
Atoms (fractional coordinates):
Te: 0.466 0.582 0.439
Sb: 0.466 0.220 0.885
Hg: 0.966 0.919 0.210
Te: 0.966 0.052 0.649
Hg: 0.466 0.715 0.879
Sb: 0.966 0.414 0.203

Arrangement ii

DFT (PBE) results for HgSbTe after structural relaxation.

a = 8.497 Å, b = 8.497 Å, c = 9.391 Å
α = 49.92°, β = 49.92°, γ = 26.90°
Atoms (fractional coordinates):
Hg: 0.290 0.290 0.849
Te: 0.008 0.008 0.745
Sb: 0.669 0.669 0.508
Sb: 0.331 0.331 0.492
Hg: 0.710 0.710 0.151
Te: 0.992 0.992 0.255

Arrangement iii

DFT (PBE) results for HgSbTe after structural relaxation.

a = 5.967 Å, b = 5.967 Å, c = 5.967 Å
α = 150.45°, β = 110.13°, γ = 77.64°
Atoms (fractional coordinates):
Sb: 0.346 0.346 0.000
Te: 0.651 0.651 0.000
Hg: 0.003 0.003 0.000

What should be chosen as the least stable of them? Choose arrangement iii.